Material: CaAgB2
Method: DFT, PBE-GGA
State: relaxed

Values from the calculation:
distance to the lowest polymorph of the same formula	0	meV per atom
raw total energy	-4.005	eV per atom
space-group type	I4_1/amd (141)

Unit cell a=4.0044 b=4.0044 c=8.3306 alpha=76.09 beta=76.09 gamma=90.00
With the nearest neighbours (Å) after each atom.
Atoms (fractional coordinates):
Ca1 0.5000 0.5000 0.0000  4 Ag 2.83, 8 B 2.97
Ca2 0.2500 0.7500 0.5000  4 Ag 2.83, 8 B 2.97
B1 0.8750 0.1250 0.2500  2 B 2.00, 2 Ag 2.20
B2 0.8750 0.6250 0.2500  2 B 2.00, 2 Ag 2.20
B3 0.3750 0.1250 0.7500  2 B 2.00, 2 Ag 2.20
B4 0.8750 0.1250 0.7500  2 B 2.00, 2 Ag 2.20
Ag1 0.0000 0.0000 0.0000  4 B 2.20
Ag2 0.7500 0.2500 0.5000  4 B 2.20